(1)
VASP calculation (PBE-GGA) on a relaxed NbZnCr crystal.

ΔH_f (0 K): 121 meV/atom
Volume: 88.8 Å³/cell
Magnetic moment: 0.000 μB per formula unit

abc: 5.208 5.208 7.810
angles: 139.42 139.42 50.63
Sites, in units of the cell vectors:
1 Nb 0.925 0.925 0.249
2 Nb 0.075 0.075 0.751
3 Cr 0.434 0.434 0.788
4 Cr 0.566 0.566 0.212
5 Zn 0.749 0.749 0.728
6 Zn 0.251 0.251 0.272

***

(2)
VASP calculation (PBE-GGA) on a relaxed NbZnCr2 crystal.

ΔH_f (0 K): 768 meV/atom
Volume: 130.3 Å³/cell
Magnetic moment: 4.946 μB per formula unit

abc: 6.860 6.860 5.585
angles: 52.11 52.11 90.00
Sites, in units of the cell vectors:
1 Cr 0.131 0.625 0.250
2 Cr 0.875 0.869 0.750
3 Cr 0.375 0.381 0.750
4 Cr 0.619 0.125 0.250
5 Zn 0.500 0.500 0.000
6 Zn 0.250 0.750 0.500
7 Nb 0.000 0.000 0.000
8 Nb 0.750 0.250 0.500

***

(3)
VASP calculation (PBE-GGA) on a relaxed NbZnCr3 crystal.

ΔH_f (0 K): 1550 meV/atom
Polymorph energy (0 for the lowest one): 154 meV/atom
Volume: 105.1 Å³/cell
Magnetic moment: 8.934 μB per formula unit

abc: 4.720 4.720 4.720
angles: 90.00 90.00 90.00
Sites, in units of the cell vectors:
1 Cr 0.500 0.000 0.000
2 Cr 0.000 0.500 0.000
3 Cr 0.000 0.000 0.500
4 Zn 0.500 0.500 0.500
5 Nb 0.000 0.000 0.000

***

(4)
VASP calculation (PBE-GGA) on a relaxed NbZn2Cr crystal.

ΔH_f (0 K): 528 meV/atom
Polymorph energy (0 for the lowest one): 339 meV/atom
Volume: 126.7 Å³/cell
Magnetic moment: 0.000 μB per formula unit

abc: 3.619 3.619 10.010
angles: 79.59 79.59 90.00
Sites, in units of the cell vectors:
1 Nb 0.750 0.250 0.500
2 Nb 0.000 0.000 0.000
3 Cr 0.500 0.500 0.000
4 Cr 0.250 0.750 0.500
5 Zn 0.138 0.625 0.250
6 Zn 0.875 0.862 0.750
7 Zn 0.375 0.388 0.750
8 Zn 0.612 0.125 0.250